Density functional theory data (PBE-GGA) for a relaxed SmThIrCl crystal.

Computed properties:
SG   Cm
DFT total energy   -6.92 eV/atom

Lattice parameters (Å, degrees): 4.2018 4.2018 7.9466 90.17 90.17 60.01
Fractional coordinates of all 4 atoms:
Sm  0.0000  0.0000  0.0000
Th  0.6681  0.6681  0.3684
Ir  0.3340  0.3340  0.1900
Cl  0.0009  0.0009  0.6377

=====

Density functional theory data (PBE-GGA) for a relaxed Sn2IrCl crystal.

Computed properties:
SG   I-42d
Energy above the most stable polymorph in this dataset   0.000 eV/atom
DFT total energy   -4.72 eV/atom

Lattice parameters (Å, degrees): 7.5856 7.5856 7.5856 129.20 129.20 74.69
Fractional coordinates of all 8 atoms:
Sn  0.0631  0.6250  0.9381
Sn  0.3750  0.3131  0.4381
Sn  0.6869  0.1250  0.0619
Sn  0.8750  0.9369  0.5619
Ir  0.0000  0.0000  0.0000
Ir  0.7500  0.2500  0.5000
Cl  0.2500  0.7500  0.5000
Cl  0.5000  0.5000  0.0000

=====

Density functional theory data (PBE-GGA) for a relaxed Sn2IrCl crystal.

Computed properties:
SG   Fm-3m
Energy above the most stable polymorph in this dataset   0.192 eV/atom
DFT total energy   -4.53 eV/atom

Lattice parameters (Å, degrees): 4.9018 4.9018 4.9018 60.00 60.00 60.00
Fractional coordinates of all 4 atoms:
Sn  0.2500  0.2500  0.2500
Sn  0.7500  0.7500  0.7500
Ir  0.0000  0.0000  0.0000
Cl  0.5000  0.5000  0.5000

=====

Density functional theory data (PBE-GGA) for a relaxed SnIr3Cl crystal.

Computed properties:
SG   Pm-3m
Energy above the most stable polymorph in this dataset   0.000 eV/atom
DFT total energy   -5.09 eV/atom

Lattice parameters (Å, degrees): 4.5237 4.5237 4.5237 90.00 90.00 90.00
Fractional coordinates of all 5 atoms:
Sn  0.0000  0.0000  0.0000
Ir  0.0000  0.5000  0.5000
Ir  0.5000  0.0000  0.5000
Ir  0.5000  0.5000  0.0000
Cl  0.5000  0.5000  0.5000

=====

Density functional theory data (PBE-GGA) for a relaxed SnIrCl2 crystal.

Computed properties:
SG   Fm-3m
Energy above the most stable polymorph in this dataset   0.500 eV/atom
DFT total energy   -3.50 eV/atom

Lattice parameters (Å, degrees): 4.8641 4.8641 4.8641 60.00 60.00 60.00
Fractional coordinates of all 4 atoms:
Sn  0.0000  0.0000  0.0000
Ir  0.5000  0.5000  0.5000
Cl  0.2500  0.2500  0.2500
Cl  0.7500  0.7500  0.7500

=====

Density functional theory data (PBE-GGA) for a relaxed SnIr3Cl crystal.

Computed properties:
SG   Pm-3m
Energy above the most stable polymorph in this dataset   0.659 eV/atom
DFT total energy   -4.43 eV/atom

Lattice parameters (Å, degrees): 4.9833 4.9833 4.9833 90.00 90.00 90.00
Fractional coordinates of all 5 atoms:
Sn  0.0000  0.0000  0.0000
Ir  0.0000  0.0000  0.5000
Ir  0.0000  0.5000  0.0000
Ir  0.5000  0.0000  0.0000
Cl  0.5000  0.5000  0.5000

=====

Density functional theory data (PBE-GGA) for a relaxed Sn3IrCl crystal.

Computed properties:
SG   Pm-3m
Energy above the most stable polymorph in this dataset   1.160 eV/atom
DFT total energy   -3.47 eV/atom

Lattice parameters (Å, degrees): 5.1658 5.1658 5.1658 90.00 90.00 90.00
Fractional coordinates of all 5 atoms:
Sn  0.0000  0.0000  0.5000
Sn  0.0000  0.5000  0.0000
Sn  0.5000  0.0000  0.0000
Ir  0.5000  0.5000  0.5000
Cl  0.0000  0.0000  0.0000

=====

Density functional theory data (PBE-GGA) for a relaxed Sn3IrCl crystal.

Computed properties:
SG   Pm-3m
Energy above the most stable polymorph in this dataset   0.000 eV/atom
DFT total energy   -4.63 eV/atom

Lattice parameters (Å, degrees): 5.1995 5.1995 5.1995 90.00 90.00 90.00
Fractional coordinates of all 5 atoms:
Sn  0.0000  0.0000  0.5000
Sn  0.0000  0.5000  0.0000
Sn  0.5000  0.0000  0.0000
Ir  0.0000  0.0000  0.0000
Cl  0.5000  0.5000  0.5000

=====

Density functional theory data (PBE-GGA) for a relaxed SnIrCl2 crystal.

Computed properties:
SG   R-3m
Energy above the most stable polymorph in this dataset   0.187 eV/atom
DFT total energy   -3.81 eV/atom

Lattice parameters (Å, degrees): 9.5152 9.5152 9.5152 21.49 21.49 21.49
Fractional coordinates of all 4 atoms:
Sn  0.0000  0.0000  0.0000
Ir  0.5000  0.5000  0.5000
Cl  0.1180  0.1180  0.1180
Cl  0.8820  0.8820  0.8820

=====

Density functional theory data (PBE-GGA) for a relaxed SnIrCl2 crystal.

Computed properties:
SG   I-42d
Energy above the most stable polymorph in this dataset   0.183 eV/atom
DFT total energy   -3.82 eV/atom

Lattice parameters (Å, degrees): 9.3932 9.3932 9.3932 153.11 153.11 38.40
Fractional coordinates of all 8 atoms:
Sn  0.0000  0.0000  0.0000
Sn  0.7500  0.2500  0.5000
Ir  0.2500  0.7500  0.5000
Ir  0.5000  0.5000  0.0000
Cl  0.1606  0.6250  0.0356
Cl  0.3750  0.4106  0.5356
Cl  0.5894  0.1250  0.9644
Cl  0.8750  0.8394  0.4644

=====

Density functional theory data (PBE-GGA) for a relaxed SnIrCl2 crystal.

Computed properties:
SG   R-3m
Energy above the most stable polymorph in this dataset   0.000 eV/atom
DFT total energy   -4.00 eV/atom

Lattice parameters (Å, degrees): 9.5494 9.5494 9.5494 19.12 19.12 19.12
Fractional coordinates of all 4 atoms:
Sn  0.0000  0.0000  0.0000
Ir  0.5000  0.5000  0.5000
Cl  0.4193  0.4193  0.4193
Cl  0.5807  0.5807  0.5807

=====

Density functional theory data (PBE-GGA) for a relaxed TaSnIr2Cl crystal.

Computed properties:
SG   P4/mmm
DFT total energy   -6.02 eV/atom

Lattice parameters (Å, degrees): 4.5126 4.5126 4.5484 90.00 90.00 90.00
Fractional coordinates of all 5 atoms:
Ta  0.0000  0.0000  0.0000
Sn  0.5000  0.5000  0.0000
Ir  0.0000  0.5000  0.5000
Ir  0.5000  0.0000  0.5000
Cl  0.0000  0.0000  0.5000

=====

Density functional theory data (PBE-GGA) for a relaxed TcSnIrCl2 crystal.

Computed properties:
SG   P4/mmm
DFT total energy   -3.84 eV/atom

Lattice parameters (Å, degrees): 4.9957 4.9957 5.8159 90.00 90.00 90.00
Fractional coordinates of all 5 atoms:
Tc  0.0000  0.0000  0.0000
Sn  0.0000  0.0000  0.5000
Ir  0.5000  0.5000  0.0000
Cl  0.0000  0.5000  0.5000
Cl  0.5000  0.0000  0.5000

=====

Density functional theory data (PBE-GGA) for a relaxed SnTe2IrCl crystal.

Computed properties:
SG   P4/mmm
DFT total energy   -2.84 eV/atom

Lattice parameters (Å, degrees): 5.2843 5.2843 5.1278 90.00 90.00 90.00
Fractional coordinates of all 5 atoms:
Sn  0.0000  0.0000  0.0000
Te  0.0000  0.5000  0.5000
Te  0.5000  0.0000  0.5000
Ir  0.5000  0.5000  0.0000
Cl  0.0000  0.0000  0.5000

=====

Density functional theory data (PBE-GGA) for a relaxed TiSn2IrCl crystal.

Computed properties:
SG   P4/mmm
DFT total energy   -4.87 eV/atom

Lattice parameters (Å, degrees): 5.5014 5.5014 4.4745 90.00 90.00 90.00
Fractional coordinates of all 5 atoms:
Ti  0.0000  0.0000  0.0000
Sn  0.0000  0.5000  0.0000
Sn  0.5000  0.0000  0.0000
Ir  0.0000  0.0000  0.5000
Cl  0.5000  0.5000  0.5000

=====

Density functional theory data (PBE-GGA) for a relaxed ZnSnIr2Cl crystal.

Computed properties:
SG   P4/mmm
DFT total energy   -3.93 eV/atom

Lattice parameters (Å, degrees): 4.7395 4.7395 4.5116 90.00 90.00 90.00
Fractional coordinates of all 5 atoms:
Zn  0.0000  0.0000  0.0000
Sn  0.5000  0.5000  0.5000
Ir  0.0000  0.5000  0.0000
Ir  0.5000  0.0000  0.0000
Cl  0.0000  0.0000  0.5000

=====

Density functional theory data (PBE-GGA) for a relaxed SrIrCl2 crystal.

Computed properties:
SG   Immm
Energy above the most stable polymorph in this dataset   0.129 eV/atom
DFT total energy   -4.21 eV/atom

Lattice parameters (Å, degrees): 5.6759 5.6759 5.6759 139.53 126.01 69.60
Fractional coordinates of all 4 atoms:
Sr  0.0000  0.0000  0.0000
Ir  0.5000  0.5000  0.0000
Cl  0.3300  0.8300  0.5000
Cl  0.6700  0.1700  0.5000

=====

Density functional theory data (PBE-GGA) for a relaxed SrIrCl2 crystal.

Computed properties:
SG   R-3m
Energy above the most stable polymorph in this dataset   0.113 eV/atom
DFT total energy   -4.23 eV/atom

Lattice parameters (Å, degrees): 4.7884 4.7884 4.7884 69.83 69.83 69.83
Fractional coordinates of all 4 atoms:
Sr  0.0000  0.0000  0.0000
Ir  0.5000  0.5000  0.5000
Cl  0.2887  0.2887  0.2887
Cl  0.7113  0.7113  0.7113

=====

Density functional theory data (PBE-GGA) for a relaxed SrIrCl2 crystal.

Computed properties:
SG   Imm2
Energy above the most stable polymorph in this dataset   0.214 eV/atom
DFT total energy   -4.12 eV/atom

Lattice parameters (Å, degrees): 8.1196 8.1196 8.1196 156.00 151.65 37.48
Fractional coordinates of all 4 atoms:
Sr  0.0000  0.0000  0.0000
Ir  0.8383  0.3383  0.5000
Cl  0.3407  0.8407  0.5000
Cl  0.5869  0.5869  0.0000

=====

Density functional theory data (PBE-GGA) for a relaxed Sr2IrCl crystal.

Computed properties:
SG   Imm2
Energy above the most stable polymorph in this dataset   0.104 eV/atom
DFT total energy   -4.34 eV/atom

Lattice parameters (Å, degrees): 8.3309 8.3309 8.3309 154.21 152.62 37.97
Fractional coordinates of all 4 atoms:
Sr  0.0000  0.0000  0.0000
Sr  0.7776  0.2776  0.5000
Ir  0.4117  0.4117  0.0000
Cl  0.1692  0.6692  0.5000

=====

Density functional theory data (PBE-GGA) for a relaxed SrIrCl2 crystal.

Computed properties:
SG   C2/m
Energy above the most stable polymorph in this dataset   0.305 eV/atom
DFT total energy   -4.03 eV/atom

Lattice parameters (Å, degrees): 5.1725 5.1725 4.9831 115.48 115.48 99.62
Fractional coordinates of all 4 atoms:
Sr  0.0000  0.0000  0.0000
Ir  0.5000  0.5000  0.0000
Cl  0.0000  0.5000  0.5000
Cl  0.5000  0.0000  0.5000

=====

Density functional theory data (PBE-GGA) for a relaxed SrIrCl2 crystal.

Computed properties:
SG   R-3m
Energy above the most stable polymorph in this dataset   0.805 eV/atom
DFT total energy   -3.53 eV/atom

Lattice parameters (Å, degrees): 7.8856 7.8856 7.8856 30.55 30.55 30.55
Fractional coordinates of all 4 atoms:
Sr  0.0000  0.0000  0.0000
Ir  0.5000  0.5000  0.5000
Cl  0.1257  0.1257  0.1257
Cl  0.8743  0.8743  0.8743

=====

Density functional theory data (PBE-GGA) for a relaxed SrIrCl2 crystal.

Computed properties:
SG   Pmmm
Energy above the most stable polymorph in this dataset   0.348 eV/atom
DFT total energy   -3.99 eV/atom

Lattice parameters (Å, degrees): 3.4199 4.3445 5.9157 90.00 90.00 90.00
Fractional coordinates of all 4 atoms:
Sr  0.0000  0.0000  0.0000
Ir  0.5000  0.0000  0.5000
Cl  0.0000  0.5000  0.5000
Cl  0.5000  0.5000  0.0000

=====

Density functional theory data (PBE-GGA) for a relaxed SrIr2Cl crystal.

Computed properties:
SG   C2/m
Energy above the most stable polymorph in this dataset   0.353 eV/atom
DFT total energy   -5.35 eV/atom

Lattice parameters (Å, degrees): 6.8673 6.8673 3.0361 102.77 102.77 134.09
Fractional coordinates of all 4 atoms:
Sr  0.0000  0.0000  0.0000
Ir  0.0000  0.5000  0.0000
Ir  0.5000  0.0000  0.0000
Cl  0.5000  0.5000  0.0000

=====

Density functional theory data (PBE-GGA) for a relaxed Sr2IrCl crystal.

Computed properties:
SG   R-3m
Energy above the most stable polymorph in this dataset   0.016 eV/atom
DFT total energy   -4.42 eV/atom

Lattice parameters (Å, degrees): 7.7694 7.7694 7.7694 32.31 32.31 32.31
Fractional coordinates of all 4 atoms:
Sr  0.2394  0.2394  0.2394
Sr  0.7606  0.7606  0.7606
Ir  0.5000  0.5000  0.5000
Cl  0.0000  0.0000  0.0000

=====

Density functional theory data (PBE-GGA) for a relaxed Sr5IrCl crystal.

Computed properties:
SG   P2_1/c
DFT total energy   -3.29 eV/atom

Lattice parameters (Å, degrees): 7.4664 16.7296 9.7213 90.00 106.04 90.00
Fractional coordinates of all 28 atoms:
Sr  0.0428  0.1010  0.4654
Sr  0.0428  0.3990  0.9654
Sr  0.1423  0.5758  0.4521
Sr  0.1423  0.9242  0.9521
Sr  0.2368  0.1539  0.8651
Sr  0.2368  0.3461  0.3651
Sr  0.3059  0.6947  0.8259
Sr  0.3059  0.8053  0.3259
Sr  0.4524  0.0379  0.2903
Sr  0.4524  0.4621  0.7903
Sr  0.5476  0.5379  0.2097
Sr  0.5476  0.9621  0.7097
Sr  0.6941  0.1947  0.6741
Sr  0.6941  0.3053  0.1741
Sr  0.7632  0.6539  0.6349
Sr  0.7632  0.8461  0.1349
Sr  0.8577  0.0758  0.0479
Sr  0.8577  0.4242  0.5479
Sr  0.9572  0.6010  0.0346
Sr  0.9572  0.8990  0.5346
Ir  0.0841  0.5437  0.7655
Ir  0.0841  0.9563  0.2655
Ir  0.9159  0.0437  0.7345
Ir  0.9159  0.4563  0.2345
Cl  0.4891  0.7130  0.1353
Cl  0.4891  0.7870  0.6353
Cl  0.5109  0.2130  0.3647
Cl  0.5109  0.2870  0.8647

=====

Density functional theory data (PBE-GGA) for a relaxed SrIrCl2 crystal.

Computed properties:
SG   F-43m
Energy above the most stable polymorph in this dataset   0.816 eV/atom
DFT total energy   -3.52 eV/atom

Lattice parameters (Å, degrees): 5.2229 5.2229 5.2229 60.00 60.00 60.00
Fractional coordinates of all 4 atoms:
Sr  0.0000  0.0000  0.0000
Ir  0.7500  0.7500  0.7500
Cl  0.2500  0.2500  0.2500
Cl  0.5000  0.5000  0.5000

=====

Density functional theory data (PBE-GGA) for a relaxed SrIr2Cl crystal.

Computed properties:
SG   P4/mmm
Energy above the most stable polymorph in this dataset   0.283 eV/atom
DFT total energy   -5.42 eV/atom

Lattice parameters (Å, degrees): 3.7497 3.7497 6.2070 90.00 90.00 90.00
Fractional coordinates of all 4 atoms:
Sr  0.0000  0.0000  0.0000
Ir  0.0000  0.5000  0.5000
Ir  0.5000  0.0000  0.5000
Cl  0.5000  0.5000  0.0000